# CaMn4O8, relaxed, DFT PBE+U
data_CaMn4O8
_chemical_formula_sum 'Ca1 Mn4 O8'
_space_group_name_H-M_alt 'P 1'
_space_group_IT_number 1
_cell_length_a 7.056
_cell_length_b 7.056
_cell_length_c 9.571
_cell_angle_alpha 132.12
_cell_angle_beta 132.12
_cell_angle_gamma 25.41
loop_
_space_group_symop_operation_xyz
'x,y,z'
loop_
_atom_site_label
_atom_site_type_symbol
_atom_site_fract_x
_atom_site_fract_y
_atom_site_fract_z
Ca1 Ca 0.000 0.000 0.000
Mn1 Mn 0.072 0.072 0.739
Mn2 Mn 0.267 0.267 0.423
Mn3 Mn 0.586 0.586 0.432
Mn4 Mn 0.775 0.775 0.104
O1 O 0.217 0.217 0.568
O2 O 0.262 0.262 0.219
O3 O 0.268 0.268 0.961
O4 O 0.574 0.574 0.899
O5 O 0.577 0.577 0.621
O6 O 0.616 0.616 0.257
O7 O 0.882 0.882 0.563
O8 O 0.964 0.964 0.284
# Space-group type: Cm (8)
# Size of the total moment in μB per atom: 1.077
# D(E_F) in states/eV per cell: 3.36
# Electronic total energy in eV per atom: -7.156
# Relative energy among the computed polymorphs in eV/atom: 0.086